(1)
VASP calculation (PBE) on a relaxed NdGdIrAu crystal.

Cell: 5.0738 5.0738 5.0738 Å, 60.00 60.00 60.00°
Closest atoms and distances in Å follow each position.
Atoms (fractional coordinates):
Gd1 0.0000 0.0000 0.0000  4 Au 3.11, 4 Ir 3.11
Nd1 0.5000 0.5000 0.5000  4 Ir 3.11, 4 Au 3.11
Ir1 0.2500 0.2500 0.2500  4 Gd 3.11, 4 Nd 3.11
Au1 0.7500 0.7500 0.7500  4 Nd 3.11, 4 Gd 3.11



(2)
VASP calculation (PBE) on a relaxed GdNpIrAu crystal.

Cell: 4.9954 4.9954 4.9954 Å, 60.00 60.00 60.00°
Closest atoms and distances in Å follow each position.
Atoms (fractional coordinates):
Np1 0.5000 0.5000 0.5000  4 Ir 3.06, 4 Au 3.06
Gd1 0.0000 0.0000 0.0000  4 Ir 3.06, 4 Au 3.06
Ir1 0.7500 0.7500 0.7500  4 Gd 3.06, 4 Np 3.06
Au1 0.2500 0.2500 0.2500  4 Np 3.06, 4 Gd 3.06



(3)
VASP calculation (PBE) on a relaxed PmGdIrAu crystal.

Cell: 5.0550 5.0550 5.0550 Å, 60.00 60.00 60.00°
Closest atoms and distances in Å follow each position.
Atoms (fractional coordinates):
Gd1 0.7500 0.7500 0.7500  4 Ir 3.10, 4 Au 3.10
Ir1 0.5000 0.5000 0.5000  4 Gd 3.10, 4 Pm 3.10
Au1 0.0000 0.0000 0.0000  4 Gd 3.10, 4 Pm 3.10
Pm1 0.2500 0.2500 0.2500  4 Ir 3.10, 4 Au 3.10



(4)
VASP calculation (PBE) on a relaxed PrGdIrAu crystal.

Cell: 5.0934 5.0934 5.0934 Å, 60.00 60.00 60.00°
Closest atoms and distances in Å follow each position.
Atoms (fractional coordinates):
Gd1 0.7500 0.7500 0.7500  4 Ir 3.12, 4 Au 3.12
Pr1 0.2500 0.2500 0.2500  4 Ir 3.12, 4 Au 3.12
Ir1 0.5000 0.5000 0.5000  4 Pr 3.12, 4 Gd 3.12
Au1 0.0000 0.0000 0.0000  4 Gd 3.12, 4 Pr 3.12



(5)
VASP calculation (PBE) on a relaxed GdScIrAu crystal.

Cell: 4.8658 4.8658 4.8658 Å, 60.00 60.00 60.00°
Closest atoms and distances in Å follow each position.
Atoms (fractional coordinates):
Gd1 0.7500 0.7500 0.7500  4 Ir 2.98, 4 Au 2.98
Sc1 0.2500 0.2500 0.2500  4 Au 2.98, 4 Ir 2.98
Ir1 0.5000 0.5000 0.5000  4 Gd 2.98, 4 Sc 2.98
Au1 0.0000 0.0000 0.0000  4 Gd 2.98, 4 Sc 2.98



(6)
VASP calculation (PBE) on a relaxed SmGdIrAu crystal.

Cell: 5.0421 5.0421 5.0421 Å, 60.00 60.00 60.00°
Closest atoms and distances in Å follow each position.
Atoms (fractional coordinates):
Gd1 0.5000 0.5000 0.5000  4 Ir 3.09, 4 Au 3.09
Ir1 0.2500 0.2500 0.2500  4 Sm 3.09, 4 Gd 3.09
Au1 0.7500 0.7500 0.7500  4 Gd 3.09, 4 Sm 3.09
Sm1 0.0000 0.0000 0.0000  4 Au 3.09, 4 Ir 3.09



(7)
VASP calculation (PBE) on a relaxed TbGdIrAu crystal.

Cell: 5.0010 5.0010 5.0010 Å, 60.00 60.00 60.00°
Closest atoms and distances in Å follow each position.
Atoms (fractional coordinates):
Gd1 0.0000 0.0000 0.0000  4 Au 3.06, 4 Ir 3.06
Tb1 0.5000 0.5000 0.5000  4 Ir 3.06, 4 Au 3.06
Ir1 0.7500 0.7500 0.7500  4 Tb 3.06, 4 Gd 3.06
Au1 0.2500 0.2500 0.2500  4 Gd 3.06, 4 Tb 3.06



(8)
VASP calculation (PBE) on a relaxed GdThIrAu crystal.

Cell: 5.0977 5.0977 5.0977 Å, 60.00 60.00 60.00°
Closest atoms and distances in Å follow each position.
Atoms (fractional coordinates):
Gd1 0.2500 0.2500 0.2500  4 Ir 3.12, 4 Au 3.12
Ir1 0.5000 0.5000 0.5000  4 Gd 3.12, 4 Th 3.12
Au1 0.0000 0.0000 0.0000  4 Th 3.12, 4 Gd 3.12
Th1 0.7500 0.7500 0.7500  4 Ir 3.12, 4 Au 3.12



(9)
VASP calculation (PBE) on a relaxed GdZnIrAu crystal.

Cell: 4.7523 4.7523 4.7523 Å, 60.00 60.00 60.00°
Closest atoms and distances in Å follow each position.
Atoms (fractional coordinates):
Gd1 0.5000 0.5000 0.5000  4 Au 2.91, 4 Ir 2.91
Zn1 0.0000 0.0000 0.0000  4 Ir 2.91, 4 Au 2.91
Ir1 0.7500 0.7500 0.7500  4 Zn 2.91, 4 Gd 2.91
Au1 0.2500 0.2500 0.2500  4 Gd 2.91, 4 Zn 2.91



(10)
VASP calculation (PBE) on a relaxed KGdAu2 crystal.

Computed properties:
Polymorph energy (0 for the lowest one), kJ/mol of atoms: 0.0

Cell: 3.7283 3.7283 8.0800 Å, 90.00 90.00 90.00°
Closest atoms and distances in Å follow each position.
Atoms (fractional coordinates):
K1 0.5000 0.5000 0.5000  8 Au 3.64, 4 K 3.73, 2 Gd 4.04
Gd1 0.5000 0.5000 0.0000  8 Au 3.05
Au1 0.0000 0.0000 0.8104  4 Gd 3.05, 1 Au 3.06
Au2 0.0000 0.0000 0.1896  4 Gd 3.05, 1 Au 3.06



(11)
VASP calculation (PBE) on a relaxed KGdAu2 crystal.

Computed properties:
Polymorph energy (0 for the lowest one), kJ/mol of atoms: 13.0

Cell: 4.2136 4.2136 8.5187 Å, 75.68 75.68 60.00°
Closest atoms and distances in Å follow each position.
Atoms (fractional coordinates):
K1 0.5000 0.5000 0.5000  6 Au 3.43
Gd1 0.0000 0.0000 0.0000  6 Au 2.95
Au1 0.7347 0.7347 0.7960  3 Gd 2.95
Au2 0.2653 0.2653 0.2040  3 Gd 2.95



(12)
VASP calculation (PBE) on a relaxed LaGdAu crystal.

Computed properties:
Polymorph energy (0 for the lowest one), kJ/mol of atoms: 11.9

Cell: 3.9830 4.9831 4.9831 Å, 120.00 90.00 90.00°
Closest atoms and distances in Å follow each position.
Atoms (fractional coordinates):
Gd1 0.0800 0.0000 0.0000  3 Au 2.99
Au1 0.2845 0.3333 0.6667  3 Gd 2.99, 3 La 3.20
La1 0.6355 0.6667 0.3333  3 Au 3.20, 3 Gd 3.38



(13)
VASP calculation (PBE) on a relaxed LaGdAu2 crystal.

Computed properties:
Polymorph energy (0 for the lowest one), kJ/mol of atoms: 0.0

Cell: 3.6784 3.6784 7.5068 Å, 90.00 90.00 90.00°
Closest atoms and distances in Å follow each position.
Atoms (fractional coordinates):
Gd1 0.5000 0.5000 0.0000  8 Au 3.12
Au1 0.0000 0.0000 0.7712  4 Gd 3.12, 4 La 3.30, 1 Au 3.43
Au2 0.0000 0.0000 0.2288  4 Gd 3.12, 4 La 3.30, 1 Au 3.43
La1 0.5000 0.5000 0.5000  8 Au 3.30, 4 La 3.68



(14)
VASP calculation (PBE) on a relaxed LaGdAu crystal.

Computed properties:
Polymorph energy (0 for the lowest one), kJ/mol of atoms: 0.0

Cell: 3.7252 3.7252 6.7930 Å, 105.91 105.91 90.00°
Closest atoms and distances in Å follow each position.
Atoms (fractional coordinates):
Gd1 0.3106 0.3106 0.6211  4 Au 3.09
Au1 0.9399 0.9399 0.8797  4 Gd 3.09, 4 La 3.31
La1 0.5996 0.5996 0.1991  4 Au 3.31, 1 Gd 3.62



(15)
VASP calculation (PBE) on a relaxed LaGdAu crystal.

Computed properties:
Polymorph energy (0 for the lowest one), kJ/mol of atoms: 11.3

Cell: 5.1272 5.1272 5.1272 Å, 60.00 60.00 60.00°
Closest atoms and distances in Å follow each position.
Atoms (fractional coordinates):
Gd1 0.5000 0.5000 0.5000  4 Au 3.14
Au1 0.2500 0.2500 0.2500  4 Gd 3.14, 4 La 3.14
La1 0.0000 0.0000 0.0000  4 Au 3.14



(16)
VASP calculation (PBE) on a relaxed LaGdAu2 crystal.

Computed properties:
Polymorph energy (0 for the lowest one), kJ/mol of atoms: 1.6

Cell: 5.2517 5.2517 5.2517 Å, 60.00 60.00 60.00°
Closest atoms and distances in Å follow each position.
Atoms (fractional coordinates):
Gd1 0.0000 0.0000 0.0000  8 Au 3.22
Au1 0.2500 0.2500 0.2500  4 Gd 3.22, 4 La 3.22
Au2 0.7500 0.7500 0.7500  4 Gd 3.22, 4 La 3.22
La1 0.5000 0.5000 0.5000  8 Au 3.22



(17)
VASP calculation (PBE) on a relaxed LiLaGdAu crystal.

Cell: 5.2675 5.2675 5.2675 Å, 60.00 60.00 60.00°
Closest atoms and distances in Å follow each position.
Atoms (fractional coordinates):
Gd1 0.7500 0.7500 0.7500  4 Au 3.23, 4 Li 3.23
Au1 0.5000 0.5000 0.5000  4 Gd 3.23, 4 La 3.23
Li1 0.0000 0.0000 0.0000  4 Gd 3.23, 4 La 3.23
La1 0.2500 0.2500 0.2500  4 Li 3.23, 4 Au 3.23



(18)
VASP calculation (PBE) on a relaxed LaGdMgAu crystal.

Cell: 5.3507 5.3507 5.3507 Å, 60.00 60.00 60.00°
Closest atoms and distances in Å follow each position.
Atoms (fractional coordinates):
Mg1 0.2500 0.2500 0.2500  4 Gd 3.28, 4 La 3.28
Gd1 0.0000 0.0000 0.0000  4 Au 3.28, 4 Mg 3.28
Au1 0.7500 0.7500 0.7500  4 La 3.28, 4 Gd 3.28
La1 0.5000 0.5000 0.5000  4 Mg 3.28, 4 Au 3.28



(19)
VASP calculation (PBE) on a relaxed LaGdOsAu crystal.

Cell: 5.0891 5.0891 5.0891 Å, 60.00 60.00 60.00°
Closest atoms and distances in Å follow each position.
Atoms (fractional coordinates):
Os1 0.5000 0.5000 0.5000  4 Gd 3.12, 4 La 3.12
Gd1 0.7500 0.7500 0.7500  4 Os 3.12, 4 Au 3.12
Au1 0.0000 0.0000 0.0000  4 Gd 3.12, 4 La 3.12
La1 0.2500 0.2500 0.2500  4 Os 3.12, 4 Au 3.12



(20)
VASP calculation (PBE) on a relaxed LaGdPdAu crystal.

Cell: 5.1853 5.1853 5.1853 Å, 60.00 60.00 60.00°
Closest atoms and distances in Å follow each position.
Atoms (fractional coordinates):
Gd1 0.7500 0.7500 0.7500  4 Au 3.18, 4 Pd 3.18
Au1 0.0000 0.0000 0.0000  4 Gd 3.18, 4 La 3.18
Pd1 0.5000 0.5000 0.5000  4 La 3.18, 4 Gd 3.18
La1 0.2500 0.2500 0.2500  4 Pd 3.18, 4 Au 3.18



Number 1: E_form -0.715 eV per atom, density of states at the Fermi level 3.10 states/eV/f.u.. Number 2: E_form -0.375 eV per atom, density of states at the Fermi level 10.98 states/eV/f.u.. Number 3: E_form -0.735 eV per atom, density of states at the Fermi level 3.14 states/eV/f.u.. Number 4: E_form -0.695 eV per atom, density of states at the Fermi level 3.07 states/eV/f.u.. Number 5: E_form -0.766 eV per atom, density of states at the Fermi level 3.19 states/eV/f.u.. Number 6: E_form -0.747 eV per atom, density of states at the Fermi level 3.26 states/eV/f.u.. Number 7: E_form -0.790 eV per atom, density of states at the Fermi level 3.41 states/eV/f.u.. Number 8: E_form -0.716 eV per atom, density of states at the Fermi level 3.48 states/eV/f.u.. Number 9: E_form -0.405 eV per atom, density of states at the Fermi level 2.34 states/eV/f.u.. Number 10: E_form -0.580 eV per atom, density of states at the Fermi level 2.72 states/eV/f.u.. Number 11: E_form -0.446 eV per atom, density of states at the Fermi level 3.76 states/eV/f.u.. Number 12: E_form -0.403 eV per atom, density of states at the Fermi level 2.69 states/eV/f.u.. Number 13: E_form -0.809 eV per atom, density of states at the Fermi level 2.92 states/eV/f.u.. Number 14: E_form -0.526 eV per atom, density of states at the Fermi level 4.07 states/eV/f.u.. Number 15: E_form -0.409 eV per atom, density of states at the Fermi level 5.33 states/eV/f.u.. Number 16: E_form -0.792 eV per atom, density of states at the Fermi level 4.74 states/eV/f.u.. Number 17: E_form -0.355 eV per atom, density of states at the Fermi level 5.52 states/eV/f.u.. Number 18: E_form -0.386 eV per atom, density of states at the Fermi level 4.78 states/eV/f.u.. Number 19: E_form -0.354 eV per atom, density of states at the Fermi level 3.19 states/eV/f.u.. Number 20: E_form -0.781 eV per atom, density of states at the Fermi level 3.36 states/eV/f.u..